# 1
# CrGeMoO6 | Alexandria | PBE with a Hubbard U | relaxed
data_CrGeMoO6
_symmetry_space_group_name_H-M 'P 42 n m'
_symmetry_Int_Tables_number 102
_symmetry_space_group_name_Hall 'P 4n -2n'
_cell_length_a 4.574
_cell_length_b 4.574
_cell_length_c 9.170
_cell_angle_alpha 90.00
_cell_angle_beta 90.00
_cell_angle_gamma 90.00
loop_
_atom_site_label
_atom_site_fract_x
_atom_site_fract_y
_atom_site_fract_z
Cr1 0.000 0.000 0.000
Ge1 0.000 0.000 0.666
Mo1 0.000 0.000 0.334
O1 0.191 0.191 0.505
O2 0.194 0.194 0.826
O3 0.202 0.202 0.167
# Density of states at the Fermi level: 0.000 states/eV/cell
# V: 10.66 Å³ per atom
# E_tot: -7.1751 eV/atom



# 2
# Mn3ZnO7 | Alexandria | PBE with a Hubbard U | relaxed
data_Mn3ZnO7
_symmetry_space_group_name_H-M 'R -3'
_symmetry_Int_Tables_number 148
_symmetry_space_group_name_Hall '-R 3'
_cell_length_a 7.7185
_cell_length_b 7.7185
_cell_length_c 14.5039
_cell_angle_alpha 90.00
_cell_angle_beta 90.00
_cell_angle_gamma 120.00
loop_
_atom_site_label
_atom_site_fract_x
_atom_site_fract_y
_atom_site_fract_z
Mn1 0.0496 0.8053 0.1661
Zn1 0.0000 0.0000 0.3748
O1 0.0000 0.0000 0.2369
O2 0.0444 0.8076 0.8994
O3 0.0527 0.7940 0.4274
# V: 11.34 Å³ per atom
# E_tot: -6.6700 eV/atom